This record from Alexandria via LeMat-Bulk describes an optimized crystal structure of SrFeSi2. The functional is GGA-PBEsol.

The structure in POSCAR format:
```
SrFeSi2
1.0
4.1511 0.0000 0.0000
0.0000 4.1511 0.0000
0.0000 0.0000 8.5608
Sr Fe Si
2 2 4
direct
0.0000 0.0000 0.0000
0.5000 0.5000 0.5000
0.0000 0.5000 0.2500
0.5000 0.0000 0.7500
0.0000 0.0000 0.5000
0.0000 0.5000 0.7500
0.5000 0.0000 0.2500
0.5000 0.5000 0.0000
```

D(E_F) = 0.953 states/eV per atom
formation energy without anion corrections = 0.48 eV per atom
electronic total energy = -5.089 eV/atom



This record from Alexandria via LeMat-Bulk describes an optimized crystal structure of CrOs2W. The functional is GGA-PBEsol.

The structure in POSCAR format:
```
CrOs2W
1.0
8.8632 0.0000 0.0000
0.0000 2.7097 0.0000
-0.8321 0.0000 4.6261
Cr Os W
2 4 2
direct
0.0000 0.0000 0.0000
0.5000 0.5000 0.0000
0.2445 0.5000 0.2340
0.2555 0.0000 0.7660
0.7445 0.0000 0.2340
0.7555 0.5000 0.7660
0.0000 0.5000 0.5000
0.5000 0.0000 0.5000
```

ΔE to the lowest computed polymorph = 0.00 eV per formula unit
energy of formation = 160 meV/atom
D(E_F) = 0.949 states/eV per atom
electronic total energy = -11.960 eV/atom



This record from Alexandria via LeMat-Bulk describes an optimized crystal structure of ScTaMn4. The functional is GGA-PBEsol.

The structure in POSCAR format:
```
ScTaMn4
1.0
0.0000 3.3911 3.3911
3.3911 0.0000 3.3911
3.3911 3.3911 0.0000
Sc Ta Mn
1 1 4
direct
0.0000 0.0000 0.0000
0.2500 0.2500 0.2500
0.1256 0.6248 0.6248
0.6248 0.1256 0.6248
0.6248 0.6248 0.1256
0.6248 0.6248 0.6248
```

energy of formation = -155 meV/atom
D(E_F) = 1.036 states/eV per atom
electronic total energy = -9.855 eV/atom



This record from Alexandria via LeMat-Bulk describes an optimized crystal structure of BaLaP. The functional is GGA-PBEsol.

The structure in POSCAR format:
```
BaLaP
1.0
7.1501 0.0000 0.0000
0.0000 7.1501 0.0000
0.0000 0.0000 7.1501
Ba La P
4 4 4
direct
0.0000 0.0000 0.0000
0.0000 0.5000 0.5000
0.5000 0.0000 0.5000
0.5000 0.5000 0.0000
0.2500 0.2500 0.7500
0.2500 0.7500 0.2500
0.7500 0.2500 0.2500
0.7500 0.7500 0.7500
0.2500 0.2500 0.2500
0.2500 0.7500 0.7500
0.7500 0.2500 0.7500
0.7500 0.7500 0.2500
```

ΔE to the lowest computed polymorph = 2.94 eV per formula unit
energy of formation = 166 meV/atom
D(E_F) = 1.712 states/eV per atom
electronic total energy = -4.263 eV/atom



This record from Alexandria via LeMat-Bulk describes an optimized crystal structure of BeTl2Pt. The functional is GGA-PBEsol.

The structure in POSCAR format:
```
BeTl2Pt
1.0
6.6998 0.0000 0.0000
0.0000 6.6998 0.0000
0.0000 0.0000 6.6998
Be Tl Pt
4 8 4
direct
0.0000 0.0000 0.0000
0.0000 0.5000 0.5000
0.5000 0.0000 0.5000
0.5000 0.5000 0.0000
0.2500 0.2500 0.2500
0.2500 0.2500 0.7500
0.2500 0.7500 0.2500
0.2500 0.7500 0.7500
0.7500 0.2500 0.2500
0.7500 0.2500 0.7500
0.7500 0.7500 0.2500
0.7500 0.7500 0.7500
0.0000 0.0000 0.5000
0.0000 0.5000 0.0000
0.5000 0.0000 0.0000
0.5000 0.5000 0.5000
```

ΔE to the lowest computed polymorph = 1.49 eV per formula unit
energy of formation = 470 meV/atom
D(E_F) = 0.461 states/eV per atom
electronic total energy = -3.586 eV/atom



This record from Alexandria via LeMat-Bulk describes an optimized crystal structure of RbSrNb2Br. The functional is GGA-PBEsol.

The structure in POSCAR format:
```
RbSrNb2Br
1.0
4.8718 0.0000 0.0000
0.0000 4.8718 0.0000
0.0000 0.0000 6.2079
Rb Sr Nb Br
1 1 2 1
direct
0.0000 0.0000 0.0000
0.5000 0.5000 0.5000
0.0000 0.5000 0.0000
0.5000 0.0000 0.0000
0.0000 0.0000 0.5000
```

D(E_F) = 1.318 states/eV per atom
formation energy without anion corrections = 1.77 eV per atom
electronic total energy = -3.506 eV/atom



This record from Alexandria via LeMat-Bulk describes an optimized crystal structure of Ag2PtAu. The functional is GGA-PBEsol.

The structure in POSCAR format:
```
Ag2PtAu
1.0
2.8045 0.0000 0.0000
-1.4023 2.4288 0.0000
0.0000 0.0000 28.3209
Ag Pt Au
6 3 3
direct
0.0000 0.0000 0.2486
0.0000 0.0000 0.7514
0.3333 0.6667 0.4181
0.3333 0.6667 0.9152
0.6667 0.3333 0.0848
0.6667 0.3333 0.5819
0.0000 0.0000 0.5000
0.3333 0.6667 0.1667
0.6667 0.3333 0.8333
0.0000 0.0000 0.0000
0.3333 0.6667 0.6667
0.6667 0.3333 0.3333
```

ΔE to the lowest computed polymorph = 0.00 eV per formula unit
energy of formation = -42 meV/atom
D(E_F) = 0.354 states/eV per atom
electronic total energy = -4.419 eV/atom



This record from Alexandria via LeMat-Bulk describes an optimized crystal structure of CsCl. The functional is GGA-PBEsol.

The structure in POSCAR format:
```
CsCl
1.0
4.0669 0.0000 0.0000
0.0000 4.0669 0.0000
0.0000 0.0000 4.0669
Cs Cl
1 1
direct
0.0000 0.0000 0.0000
0.5000 0.5000 0.5000
```

D(E_F) = 0.000 states/eV per atom
formation energy without anion corrections = -1.95 eV per atom
electronic total energy = -3.421 eV/atom



This record from Alexandria via LeMat-Bulk describes an optimized crystal structure of CsAlSe2Br. The functional is GGA-PBEsol.

The structure in POSCAR format:
```
CsAlSe2Br
1.0
5.7189 0.0000 0.0000
0.0000 5.7189 0.0000
0.0000 0.0000 6.4353
Cs Al Se Br
1 1 2 1
direct
0.0000 0.0000 0.0000
0.5000 0.5000 0.5000
0.0000 0.5000 0.0000
0.5000 0.0000 0.0000
0.0000 0.0000 0.5000
```

D(E_F) = 1.877 states/eV per atom
formation energy without anion corrections = 0.71 eV per atom
electronic total energy = -2.215 eV/atom



This record from Alexandria via LeMat-Bulk describes an optimized crystal structure of BaLa3C. The functional is GGA-PBEsol.

The structure in POSCAR format:
```
BaLa3C
1.0
5.3426 0.0000 0.0000
0.0000 5.3426 0.0000
0.0000 0.0000 5.3426
Ba La C
1 3 1
direct
0.0000 0.0000 0.0000
0.0000 0.5000 0.5000
0.5000 0.0000 0.5000
0.5000 0.5000 0.0000
0.5000 0.5000 0.5000
```

energy of formation = 155 meV/atom
D(E_F) = 1.474 states/eV per atom
electronic total energy = -5.411 eV/atom



This record from Alexandria via LeMat-Bulk describes an optimized crystal structure of ZrCu2Pb. The functional is GGA-PBEsol.

The structure in POSCAR format:
```
ZrCu2Pb
1.0
3.4161 0.0000 0.0000
0.0000 3.4708 0.0000
0.0000 0.0000 6.0863
Zr Cu Pb
1 2 1
direct
0.0000 0.0000 0.0000
0.5000 0.5000 0.2165
0.5000 0.5000 0.7835
0.0000 0.0000 0.5000
```

energy of formation = 31 meV/atom
D(E_F) = 0.772 states/eV per atom
electronic total energy = -5.409 eV/atom



This record from Alexandria via LeMat-Bulk describes an optimized crystal structure of K2Zn2S3O12. The functional is GGA-PBEsol.

The structure in POSCAR format:
```
K2Zn2S3O12
1.0
9.9211 0.0000 0.0000
0.0000 9.9211 0.0000
0.0000 0.0000 9.9211
K Zn S O
8 8 12 48
direct
0.0505 0.0505 0.0505
0.1849 0.3151 0.6849
0.3151 0.6849 0.1849
0.4495 0.9495 0.5505
0.5505 0.4495 0.9495
0.6849 0.1849 0.3151
0.8151 0.8151 0.8151
0.9495 0.5505 0.4495
0.0918 0.9082 0.4082
0.1648 0.6648 0.8352
0.3352 0.3352 0.3352
0.4082 0.0918 0.9082
0.5918 0.5918 0.5918
0.6648 0.8352 0.1648
0.8352 0.1648 0.6648
0.9082 0.4082 0.0918
0.0192 0.2193 0.3767
0.1233 0.9808 0.7193
0.2193 0.3767 0.0192
0.2807 0.6233 0.5192
0.3767 0.0192 0.2193
0.4808 0.7807 0.8767
0.5192 0.2807 0.6233
0.6233 0.5192 0.2807
0.7193 0.1233 0.9808
0.7807 0.8767 0.4808
0.8767 0.4808 0.7807
0.9808 0.7193 0.1233
0.0010 0.0780 0.3284
0.0038 0.5568 0.7573
0.0373 0.8120 0.2253
0.0568 0.7427 0.9962
0.0780 0.3284 0.0010
0.0952 0.8373 0.7460
0.1627 0.2460 0.4048
0.1716 0.9990 0.5780
0.1880 0.7253 0.4627
0.2253 0.0373 0.8120
0.2427 0.5038 0.9432
0.2460 0.4048 0.1627
0.2540 0.5952 0.6627
0.2573 0.4962 0.4432
0.2747 0.9627 0.3120
0.3120 0.2747 0.9627
0.3284 0.0010 0.0780
0.3373 0.7540 0.9048
0.4048 0.1627 0.2460
0.4220 0.6716 0.5010
0.4432 0.2573 0.4962
0.4627 0.1880 0.7253
0.4962 0.4432 0.2573
0.4990 0.9220 0.8284
0.5010 0.4220 0.6716
0.5038 0.9432 0.2427
0.5373 0.6880 0.7747
0.5568 0.7573 0.0038
0.5780 0.1716 0.9990
0.5952 0.6627 0.2540
0.6627 0.2540 0.5952
0.6716 0.5010 0.4220
0.6880 0.7747 0.5373
0.7253 0.4627 0.1880
0.7427 0.9962 0.0568
0.7460 0.0952 0.8373
0.7540 0.9048 0.3373
0.7573 0.0038 0.5568
0.7747 0.5373 0.6880
0.8120 0.2253 0.0373
0.8284 0.4990 0.9220
0.8373 0.7460 0.0952
0.9048 0.3373 0.7540
0.9220 0.8284 0.4990
0.9432 0.2427 0.5038
0.9627 0.3120 0.2747
0.9962 0.0568 0.7427
0.9990 0.5780 0.1716
```

D(E_F) = 0.000 states/eV per atom
formation energy without anion corrections = -1.63 eV per atom
electronic total energy = -5.920 eV/atom



This record from Alexandria via LeMat-Bulk describes an optimized crystal structure of CdW2Br. The functional is GGA-PBEsol.

The structure in POSCAR format:
```
CdW2Br
1.0
4.6254 0.0000 0.0000
0.0000 4.6254 0.0000
0.0000 0.0000 6.5748
Cd W Br
2 4 2
direct
0.0000 0.0000 0.0000
0.5000 0.5000 0.5000
0.0000 0.0000 0.5000
0.0000 0.5000 0.2500
0.5000 0.0000 0.7500
0.5000 0.5000 0.0000
0.0000 0.5000 0.7500
0.5000 0.0000 0.2500
```

ΔE to the lowest computed polymorph = 0.55 eV per formula unit
D(E_F) = 0.526 states/eV per atom
formation energy without anion corrections = 1.20 eV per atom
electronic total energy = -6.470 eV/atom



This record from Alexandria via LeMat-Bulk describes an optimized crystal structure of InNiWF2. The functional is GGA-PBEsol.

The structure in POSCAR format:
```
InNiWF2
1.0
3.8793 0.0000 0.0000
0.0000 3.8793 0.0000
0.0000 0.0000 6.0157
In Ni W F
1 1 1 2
direct
0.0000 0.0000 0.0000
0.5000 0.5000 0.5000
0.0000 0.0000 0.5000
0.0000 0.5000 0.0000
0.5000 0.0000 0.0000
```

D(E_F) = 0.803 states/eV per atom
formation energy without anion corrections = 0.29 eV per atom
electronic total energy = -5.068 eV/atom



This record from Alexandria via LeMat-Bulk describes an optimized crystal structure of In2SbMo. The functional is GGA-PBEsol.

The structure in POSCAR format:
```
In2SbMo
1.0
3.1001 0.0000 0.0000
-1.5501 2.6848 0.0000
0.0000 0.0000 30.8019
In Sb Mo
6 3 3
direct
0.0000 0.0000 0.2402
0.0000 0.0000 0.7598
0.3333 0.6667 0.4265
0.3333 0.6667 0.9069
0.6667 0.3333 0.0931
0.6667 0.3333 0.5735
0.0000 0.0000 0.0000
0.3333 0.6667 0.6667
0.6667 0.3333 0.3333
0.0000 0.0000 0.5000
0.3333 0.6667 0.1667
0.6667 0.3333 0.8333
```

D(E_F) = 0.723 states/eV per atom
formation energy without anion corrections = 0.39 eV per atom
electronic total energy = -5.178 eV/atom



This record from Alexandria via LeMat-Bulk describes an optimized crystal structure of CaSb. The functional is GGA-PBEsol.

The structure in POSCAR format:
```
CaSb
1.0
4.4057 0.0000 0.0000
0.0000 4.4057 0.0000
0.0000 0.0000 6.3184
Ca Sb
2 2
direct
0.2500 0.2500 0.2054
0.7500 0.7500 0.7946
0.2500 0.2500 0.6975
0.7500 0.7500 0.3025
```

D(E_F) = 1.183 states/eV per atom
formation energy without anion corrections = -0.65 eV per atom
electronic total energy = -3.997 eV/atom



This record from Alexandria via LeMat-Bulk describes an optimized crystal structure of TlFe2Hg. The functional is GGA-PBEsol.

The structure in POSCAR format:
```
TlFe2Hg
1.0
9.3367 0.0000 0.0000
0.0000 2.9601 0.0000
-2.4741 0.0000 5.4977
Tl Fe Hg
2 4 2
direct
0.0000 0.0000 0.0000
0.5000 0.5000 0.0000
0.2341 0.5000 0.3420
0.2659 0.0000 0.6580
0.7341 0.0000 0.3420
0.7659 0.5000 0.6580
0.0000 0.5000 0.5000
0.5000 0.0000 0.5000
```

ΔE to the lowest computed polymorph = 0.60 eV per formula unit
energy of formation = 528 meV/atom
D(E_F) = 0.472 states/eV per atom
electronic total energy = -4.753 eV/atom



This record from Alexandria via LeMat-Bulk describes an optimized crystal structure of Ni2PAu. The functional is GGA-PBEsol.

The structure in POSCAR format:
```
Ni2PAu
1.0
3.5893 0.0000 0.0000
0.0000 3.5893 0.0000
0.0000 0.0000 7.7744
Ni P Au
4 2 2
direct
0.0000 0.0000 0.0000
0.0000 0.5000 0.2500
0.5000 0.0000 0.7500
0.5000 0.5000 0.5000
0.0000 0.0000 0.5000
0.5000 0.5000 0.0000
0.0000 0.5000 0.7500
0.5000 0.0000 0.2500
```

energy of formation = 78 meV/atom
D(E_F) = 0.763 states/eV per atom
electronic total energy = -5.430 eV/atom



This record from Alexandria via LeMat-Bulk describes an optimized crystal structure of SiPb2S4. The functional is GGA-PBEsol.

The structure in POSCAR format:
```
SiPb2S4
1.0
6.4709 0.0000 0.0000
0.0000 6.6136 0.0000
-5.1483 0.0000 15.6201
Si Pb S
4 8 16
direct
0.2114 0.2447 0.3973
0.2114 0.2553 0.8973
0.7886 0.7447 0.1027
0.7886 0.7553 0.6027
0.2355 0.7200 0.5231
0.2355 0.7800 0.0231
0.2638 0.6936 0.7883
0.2638 0.8064 0.2883
0.7362 0.1936 0.7117
0.7362 0.3064 0.2117
0.7645 0.2200 0.9769
0.7645 0.2800 0.4769
0.0002 0.0079 0.6281
0.0002 0.4921 0.1281
0.9998 0.5079 0.8719
0.9998 0.9921 0.3719
0.0007 0.0003 0.8606
0.0007 0.4997 0.3606
0.3815 0.2275 0.0304
0.3815 0.2725 0.5304
0.4226 0.2172 0.3211
0.4226 0.2828 0.8211
0.5774 0.7172 0.1789
0.5774 0.7828 0.6789
0.6185 0.7275 0.4696
0.6185 0.7725 0.9696
0.9993 0.9997 0.1394
0.9993 0.5003 0.6394
```

D(E_F) = 0.000 states/eV per atom
formation energy without anion corrections = -0.62 eV per atom
electronic total energy = -5.090 eV/atom



This record from Alexandria via LeMat-Bulk describes an optimized crystal structure of TaAlZn2. The functional is GGA-PBEsol.

The structure in POSCAR format:
```
TaAlZn2
1.0
5.0389 0.0000 0.0000
0.0000 2.7296 0.0000
-2.5137 0.0000 4.4820
Ta Al Zn
1 1 2
direct
0.0000 0.0000 0.0000
0.5000 0.5004 0.0000
0.0000 0.5022 0.5000
0.5000 0.4972 0.5000
```

energy of formation = -78 meV/atom
D(E_F) = 0.473 states/eV per atom
electronic total energy = -5.029 eV/atom



This record from Alexandria via LeMat-Bulk describes an optimized crystal structure of Rb3MgAl. The functional is GGA-PBEsol.

The structure in POSCAR format:
```
Rb3MgAl
1.0
6.8439 0.0000 0.0000
0.0000 6.8439 0.0000
0.0000 0.0000 6.8439
Rb Mg Al
3 1 1
direct
0.0000 0.0000 0.5000
0.0000 0.5000 0.0000
0.5000 0.0000 0.0000
0.5000 0.5000 0.5000
0.0000 0.0000 0.0000
```

energy of formation = 536 meV/atom
D(E_F) = 0.653 states/eV per atom
electronic total energy = -1.240 eV/atom



This record from Alexandria via LeMat-Bulk describes an optimized crystal structure of Li3CuS2. The functional is GGA-PBEsol.

The structure in POSCAR format:
```
Li3CuS2
1.0
3.7053 0.0000 0.0000
0.0000 3.7053 0.0000
0.0000 0.0000 11.9647
Li Cu S
6 2 4
direct
0.2500 0.2500 0.0746
0.2500 0.2500 0.5746
0.2500 0.7500 0.2500
0.7500 0.2500 0.7500
0.7500 0.7500 0.4254
0.7500 0.7500 0.9254
0.2500 0.7500 0.7500
0.7500 0.2500 0.2500
0.2500 0.2500 0.3717
0.2500 0.2500 0.8717
0.7500 0.7500 0.1283
0.7500 0.7500 0.6283
```

D(E_F) = 0.000 states/eV per atom
formation energy without anion corrections = -1.04 eV per atom
electronic total energy = -4.205 eV/atom



This record from Alexandria via LeMat-Bulk describes an optimized crystal structure of Ba3HfAl. The functional is GGA-PBEsol.

The structure in POSCAR format:
```
Ba3HfAl
1.0
6.0883 0.0000 0.0000
0.0000 6.0883 0.0000
0.0000 0.0000 6.0883
Ba Hf Al
3 1 1
direct
0.0000 0.0000 0.5000
0.0000 0.5000 0.0000
0.5000 0.0000 0.0000
0.0000 0.0000 0.0000
0.5000 0.5000 0.5000
```

energy of formation = 938 meV/atom
D(E_F) = 1.494 states/eV per atom
electronic total energy = -3.270 eV/atom



The V results, record by record, are as follows: 148 111 78 366 301 147 193 67 210 152 72 977 141 91 256 123 152 100 668 62 321 164 226 Å³ per cell.